Record 1
Here is a relaxed RbOs crystal from the Alexandria database. Energies are from PBE.

Cell: 10.553 10.553 10.553 Å, 91.15 91.15 163.69°
Fractional positions:
Rb (0.038, 0.253, 0.291)
Rb (0.253, 0.962, 0.215)
Rb (0.747, 0.038, 0.785)
Rb (0.962, 0.747, 0.709)
Os (0.187, 0.745, 0.933)
Os (0.255, 0.187, 0.442)
Os (0.745, 0.813, 0.558)
Os (0.813, 0.255, 0.067)

Values from the calculation:
Polymorph energy (0 for the lowest one) (meV/atom): 629
Formation enthalpy at 0 K (meV per atom): 1544
Energy (eV/atom): -4.555
Space group: I4/m


Record 2
Here is a relaxed Ho2Co2B crystal from the Alexandria database. Energies are from PBE.

Cell: 5.517 5.517 6.493 Å, 98.48 98.48 55.41°
Fractional positions:
Ho (0.031, 0.264, 0.151)
Ho (0.264, 0.031, 0.651)
Ho (0.736, 0.969, 0.349)
Ho (0.969, 0.736, 0.849)
Co (0.281, 0.490, 0.488)
Co (0.490, 0.281, 0.988)
Co (0.510, 0.719, 0.012)
Co (0.719, 0.510, 0.512)
B (0.421, 0.579, 0.250)
B (0.579, 0.421, 0.750)

Values from the calculation:
Formation enthalpy at 0 K (meV per atom): -232
Energy (eV/atom): -6.241
Space group: C2/c


Record 3
Here is a relaxed BaCa2TiSi crystal from the Alexandria database. Energies are from PBE.

Cell: 5.763 5.763 5.013 Å, 90.00 90.00 90.00°
Fractional positions:
Ba (0.000, 0.000, 0.000)
Ca (0.000, 0.500, 0.000)
Ca (0.500, 0.000, 0.000)
Ti (0.000, 0.000, 0.500)
Si (0.500, 0.500, 0.500)

Values from the calculation:
Energy relative to the elements, uncorrected (eV/atom): 1.494
Energy (eV/atom): -2.355
Space group: P4/mmm


Record 4
Here is a relaxed NbRhW crystal from the Alexandria database. Energies are from PBE.

Cell: 2.794 5.025 7.126 Å, 80.27 81.79 83.31°
Fractional positions:
Nb (0.041, 0.142, 0.161)
Nb (0.959, 0.858, 0.839)
Rh (0.426, 0.625, 0.171)
Rh (0.574, 0.375, 0.829)
W (0.277, 0.244, 0.516)
W (0.723, 0.756, 0.484)

Values from the calculation:
Polymorph energy (0 for the lowest one) (meV/atom): 61
Formation enthalpy at 0 K (meV per atom): -139
Energy (eV/atom): -10.264
Space group: P-1


Record 5
Here is a relaxed MnNbSe crystal from the Alexandria database. Energies are from PBE.

Cell: 3.357 3.357 10.745 Å, 90.00 90.00 120.00°
Fractional positions:
Mn (0.000, 0.000, 0.000)
Mn (0.333, 0.667, 0.500)
Nb (0.000, 0.000, 0.338)
Nb (0.000, 0.000, 0.662)
Se (0.333, 0.667, 0.167)
Se (0.333, 0.667, 0.833)

Values from the calculation:
Energy relative to the elements, uncorrected (eV/atom): -0.138
Energy (eV/atom): -7.713
Space group: P-6m2


Record 6
Here is a relaxed Cs3Np2BiTe6 crystal from the Alexandria database. Energies are from PBE.

Cell: 8.075 8.075 9.280 Å, 98.33 98.33 119.99°
Fractional positions:
Cs (0.000, 0.000, 0.000)
Cs (0.335, 0.665, 0.000)
Cs (0.665, 0.335, 0.000)
Np (0.167, 0.833, 0.500)
Np (0.833, 0.167, 0.500)
Bi (0.500, 0.500, 0.500)
Te (0.098, 0.436, 0.309)
Te (0.225, 0.225, 0.690)
Te (0.436, 0.098, 0.309)
Te (0.564, 0.902, 0.691)
Te (0.775, 0.775, 0.310)
Te (0.902, 0.564, 0.691)

Values from the calculation:
Energy relative to the elements, uncorrected (eV/atom): -0.791
Energy (eV/atom): -5.055
Space group: C2/m